--- one ---
The following is a DFT calculation (GGA-PBE) of an optimized crystal structure of IrOsI2N.

```
data_IrOsI2N
_chemical_formula_sum 'Ir1 Os1 I2 N1'
_symmetry_space_group_name_H-M 'P 1'
_symmetry_Int_Tables_number 1
_symmetry_space_group_name_Hall 'P 1'
_cell_length_a 5.4708
_cell_length_b 5.4708
_cell_length_c 3.6234
_cell_angle_alpha 90.00
_cell_angle_beta 90.00
_cell_angle_gamma 90.00
loop_
_atom_site_label
_atom_site_type_symbol
_atom_site_fract_x
_atom_site_fract_y
_atom_site_fract_z
Ir1 Ir 0.0000 0.0000 0.0000
Os1 Os 0.5000 0.5000 0.5000
I1 I 0.0000 0.5000 0.0000
I2 I 0.5000 0.0000 0.0000
N1 N 0.0000 0.0000 0.5000
```


--- two ---
The following is a DFT calculation (GGA-PBE) of an optimized crystal structure of IrOsI2N.

```
data_IrOsI2N
_chemical_formula_sum 'Ir1 Os1 I2 N1'
_symmetry_space_group_name_H-M 'P 1'
_symmetry_Int_Tables_number 1
_symmetry_space_group_name_Hall 'P 1'
_cell_length_a 5.4092
_cell_length_b 5.4092
_cell_length_c 3.6603
_cell_angle_alpha 90.00
_cell_angle_beta 90.00
_cell_angle_gamma 90.00
loop_
_atom_site_label
_atom_site_type_symbol
_atom_site_fract_x
_atom_site_fract_y
_atom_site_fract_z
Ir1 Ir 0.0000 0.0000 0.0000
Os1 Os 0.5000 0.5000 0.5000
I1 I 0.0000 0.5000 0.5000
I2 I 0.5000 0.0000 0.5000
N1 N 0.5000 0.5000 0.0000
```


Which one sits at the top of the stability order? two does.


--- one ---
The following is a DFT calculation (GGA-PBE) of an optimized crystal structure of PIrI2N.

```
data_PIrI2N
_chemical_formula_sum 'P1 Ir1 I2 N1'
_symmetry_space_group_name_H-M 'P 1'
_symmetry_Int_Tables_number 1
_symmetry_space_group_name_Hall 'P 1'
_cell_length_a 5.5829
_cell_length_b 5.5829
_cell_length_c 3.6945
_cell_angle_alpha 90.00
_cell_angle_beta 90.00
_cell_angle_gamma 90.00
loop_
_atom_site_label
_atom_site_type_symbol
_atom_site_fract_x
_atom_site_fract_y
_atom_site_fract_z
P1 P 0.0000 0.0000 0.0000
Ir1 Ir 0.5000 0.5000 0.5000
I1 I 0.0000 0.5000 0.5000
I2 I 0.5000 0.0000 0.5000
N1 N 0.5000 0.5000 0.0000
```


--- two ---
The following is a DFT calculation (GGA-PBE) of an optimized crystal structure of PIrI2N.

```
data_PIrI2N
_chemical_formula_sum 'P1 Ir1 I2 N1'
_symmetry_space_group_name_H-M 'P 1'
_symmetry_Int_Tables_number 1
_symmetry_space_group_name_Hall 'P 1'
_cell_length_a 5.4428
_cell_length_b 5.4428
_cell_length_c 3.2725
_cell_angle_alpha 90.00
_cell_angle_beta 90.00
_cell_angle_gamma 90.00
loop_
_atom_site_label
_atom_site_type_symbol
_atom_site_fract_x
_atom_site_fract_y
_atom_site_fract_z
P1 P 0.0000 0.0000 0.0000
Ir1 Ir 0.5000 0.5000 0.5000
I1 I 0.0000 0.5000 0.0000
I2 I 0.5000 0.0000 0.0000
N1 N 0.0000 0.0000 0.5000
```


Which one sits at the top of the stability order? one does.


--- one ---
The following is a DFT calculation (GGA-PBE) of an optimized crystal structure of IrPbIN2.

```
data_IrPbIN2
_chemical_formula_sum 'Ir1 Pb1 I1 N2'
_symmetry_space_group_name_H-M 'P 1'
_symmetry_Int_Tables_number 1
_symmetry_space_group_name_Hall 'P 1'
_cell_length_a 4.0339
_cell_length_b 4.0339
_cell_length_c 8.1220
_cell_angle_alpha 90.00
_cell_angle_beta 90.00
_cell_angle_gamma 90.00
loop_
_atom_site_label
_atom_site_type_symbol
_atom_site_fract_x
_atom_site_fract_y
_atom_site_fract_z
Ir1 Ir 0.0000 0.0000 0.0000
Pb1 Pb 0.5000 0.5000 0.5000
I1 I 0.0000 0.0000 0.5000
N1 N 0.0000 0.5000 0.0000
N2 N 0.5000 0.0000 0.0000
```


--- two ---
The following is a DFT calculation (GGA-PBE) of an optimized crystal structure of IrPbIN2.

```
data_IrPbIN2
_chemical_formula_sum 'Ir1 Pb1 I1 N2'
_symmetry_space_group_name_H-M 'P 1'
_symmetry_Int_Tables_number 1
_symmetry_space_group_name_Hall 'P 1'
_cell_length_a 4.1226
_cell_length_b 4.1226
_cell_length_c 6.5213
_cell_angle_alpha 90.00
_cell_angle_beta 90.00
_cell_angle_gamma 90.00
loop_
_atom_site_label
_atom_site_type_symbol
_atom_site_fract_x
_atom_site_fract_y
_atom_site_fract_z
Ir1 Ir 0.0000 0.0000 0.0000
Pb1 Pb 0.5000 0.5000 0.5000
I1 I 0.5000 0.5000 0.0000
N1 N 0.0000 0.5000 0.5000
N2 N 0.5000 0.0000 0.5000
```


Which one sits at the top of the stability order? one does.